Record 1
DFT (GGA-PBE) results for a relaxed Ca4CrRh crystal.

abc: 6.241 6.241 6.241
angles: 60.00 60.00 60.00
Fractional coordinates of all 6 atoms:
Ca (0.376, 0.376, 0.376)
Ca (0.376, 0.376, 0.873)
Ca (0.376, 0.873, 0.376)
Ca (0.873, 0.376, 0.376)
Cr (0.000, 0.000, 0.000)
Rh (0.750, 0.750, 0.750)

Values from the calculation:
The symmetry is F-43m.



Record 2
DFT (GGA-PBE) results for a relaxed CaCrRh2 crystal.

abc: 4.595 4.595 4.595
angles: 60.00 60.00 60.00
Fractional coordinates of all 4 atoms:
Ca (0.000, 0.000, 0.000)
Cr (0.250, 0.250, 0.250)
Rh (0.500, 0.500, 0.500)
Rh (0.750, 0.750, 0.750)

Values from the calculation:
The symmetry is F-43m.



Record 3
DFT (GGA-PBE) results for a relaxed CaCrRh2 crystal.

abc: 5.813 5.813 5.813
angles: 104.27 104.27 120.46
Fractional coordinates of all 8 atoms:
Ca (0.000, 0.000, 0.000)
Ca (0.750, 0.250, 0.500)
Cr (0.250, 0.750, 0.500)
Cr (0.500, 0.500, 0.000)
Rh (0.187, 0.625, 0.062)
Rh (0.375, 0.437, 0.562)
Rh (0.563, 0.125, 0.938)
Rh (0.875, 0.813, 0.438)

Values from the calculation:
The symmetry is I-42d.



Record 4
DFT (GGA-PBE) results for a relaxed CaCrRh2 crystal.

abc: 3.322 3.322 6.532
angles: 90.00 90.00 90.00
Fractional coordinates of all 4 atoms:
Ca (0.000, 0.000, 0.000)
Cr (0.500, 0.500, 0.359)
Rh (0.000, 0.000, 0.485)
Rh (0.500, 0.500, 0.740)

Values from the calculation:
The symmetry is P4mm.



In eV per atom, the total DFT energy (no corrections) values for the records above are, in order, -3.305; -6.316; -6.393; -6.387.